# Sm3Th2Co2

Sm3Th2Co2 after structural relaxation (PBE, Alexandria via LeMat-Bulk).

CIF file:
```
data_Sm3Th2Co2
_cell_length_a 12.103
_cell_length_b 3.719
_cell_length_c 8.751
_cell_angle_alpha 90.00
_cell_angle_beta 109.79
_cell_angle_gamma 90.00
_space_group_name_H-M_alt 'C 1 2/m 1'
_space_group_IT_number 12
_space_group_name_Hall '-C 2y'
loop_
_atom_site_label
_atom_site_type_symbol
_atom_site_fract_x
_atom_site_fract_y
_atom_site_fract_z
_atom_site_occupancy
Sm1 Sm 0.000 0.000 0.000 1
Sm2 Sm 0.122 0.000 0.418 1
Th1 Th 0.170 0.500 0.802 1
Co1 Co 0.180 0.500 0.186 1
```

***

# RbNiI2N PBE relaxed
data_RbNiI2N
_cell_length_a 6.286
_cell_length_b 6.286
_cell_length_c 3.489
_cell_angle_alpha 90.00
_cell_angle_beta 90.00
_cell_angle_gamma 90.00
_space_group_name_H-M_alt 'P 4/m m m'
_space_group_IT_number 123
_space_group_name_Hall '-P 4 2'
loop_
_atom_site_label
_atom_site_type_symbol
_atom_site_fract_x
_atom_site_fract_y
_atom_site_fract_z
_atom_site_occupancy
Rb1 Rb 0.000 0.000 0.000 1
Ni1 Ni 0.500 0.500 0.500 1
I1 I 0.000 0.500 0.500 1
N1 N 0.500 0.500 0.000 1
# - ΔE_f (raw) (eV/atom) = 0.0058
# - excess energy over the best structure of this formula in the dataset (eV/atom) = 0.000

***

# Hf2MgNp PBE relaxed
data_Hf2MgNp
_cell_length_a 3.036
_cell_length_b 3.036
_cell_length_c 9.625
_cell_angle_alpha 90.00
_cell_angle_beta 90.00
_cell_angle_gamma 90.00
_space_group_name_H-M_alt 'P 4/m m m'
_space_group_IT_number 123
_space_group_name_Hall '-P 4 2'
loop_
_atom_site_label
_atom_site_type_symbol
_atom_site_fract_x
_atom_site_fract_y
_atom_site_fract_z
_atom_site_occupancy
Hf1 Hf 0.000 0.000 0.247 1
Mg1 Mg 0.500 0.500 0.500 1
Np1 Np 0.500 0.500 0.000 1
# - excess energy over the best structure of this formula in the dataset (eV/atom) = 0.007

***

# ZrPb

ZrPb after structural relaxation (PBE, Alexandria via LeMat-Bulk).

CIF file:
```
data_ZrPb
_cell_length_a 4.3871
_cell_length_b 4.3871
_cell_length_c 6.4276
_cell_angle_alpha 90.00
_cell_angle_beta 90.00
_cell_angle_gamma 120.00
_space_group_name_H-M_alt 'P 63/m m c'
_space_group_IT_number 194
_space_group_name_Hall '-P 6c 2c'
loop_
_atom_site_label
_atom_site_type_symbol
_atom_site_fract_x
_atom_site_fract_y
_atom_site_fract_z
_atom_site_occupancy
Zr1 Zr 0.3333 0.6667 0.2500 1
Pb1 Pb 0.0000 0.0000 0.0000 1
```

***

# Cs3GeI PBE relaxed
data_Cs3GeI
_cell_length_a 6.929
_cell_length_b 6.929
_cell_length_c 6.929
_cell_angle_alpha 90.00
_cell_angle_beta 90.00
_cell_angle_gamma 90.00
_space_group_name_H-M_alt 'P m -3 m'
_space_group_IT_number 221
_space_group_name_Hall '-P 4 2 3'
loop_
_atom_site_label
_atom_site_type_symbol
_atom_site_fract_x
_atom_site_fract_y
_atom_site_fract_z
_atom_site_occupancy
Cs1 Cs 0.000 0.000 0.500 1
Ge1 Ge 0.000 0.000 0.000 1
I1 I 0.500 0.500 0.500 1
# - ΔE_f (raw) (eV/atom) = -0.3270
# - excess energy over the best structure of this formula in the dataset (eV/atom) = 0.000

***

# LaPm5N4 PBE relaxed
data_LaPm5N4
_cell_length_a 15.894
_cell_length_b 3.615
_cell_length_c 7.504
_cell_angle_alpha 90.00
_cell_angle_beta 102.99
_cell_angle_gamma 90.00
_space_group_name_H-M_alt 'C 1 2/m 1'
_space_group_IT_number 12
_space_group_name_Hall '-C 2y'
loop_
_atom_site_label
_atom_site_type_symbol
_atom_site_fract_x
_atom_site_fract_y
_atom_site_fract_z
_atom_site_occupancy
La1 La 0.000 0.000 0.000 1
Pm1 Pm 0.000 0.000 0.500 1
Pm2 Pm 0.160 0.500 0.306 1
Pm3 Pm 0.166 0.500 0.851 1
N1 N 0.004 0.500 0.261 1
N2 N 0.170 0.000 0.086 1
# - ΔE_f (raw) (eV/atom) = -1.1020

***

# MgAgBi

MgAgBi after structural relaxation (PBE, Alexandria via LeMat-Bulk).

CIF file:
```
data_MgAgBi
_cell_length_a 3.545
_cell_length_b 6.431
_cell_length_c 12.434
_cell_angle_alpha 90.00
_cell_angle_beta 90.00
_cell_angle_gamma 90.00
_space_group_name_H-M_alt 'I m m m'
_space_group_IT_number 71
_space_group_name_Hall '-I 2 2'
loop_
_atom_site_label
_atom_site_type_symbol
_atom_site_fract_x
_atom_site_fract_y
_atom_site_fract_z
_atom_site_occupancy
Mg1 Mg 0.000 0.247 0.000 1
Ag1 Ag 0.000 0.000 0.376 1
Bi1 Bi 0.000 0.500 0.325 1
```

***

# Be2AgPW

Be2AgPW after structural relaxation (PBE, Alexandria via LeMat-Bulk).

CIF file:
```
data_Be2AgPW
_cell_length_a 4.054
_cell_length_b 4.054
_cell_length_c 4.783
_cell_angle_alpha 90.00
_cell_angle_beta 90.00
_cell_angle_gamma 90.00
_space_group_name_H-M_alt 'P 4/m m m'
_space_group_IT_number 123
_space_group_name_Hall '-P 4 2'
loop_
_atom_site_label
_atom_site_type_symbol
_atom_site_fract_x
_atom_site_fract_y
_atom_site_fract_z
_atom_site_occupancy
Be1 Be 0.000 0.500 0.000 1
Ag1 Ag 0.000 0.000 0.500 1
P1 P 0.000 0.000 0.000 1
W1 W 0.500 0.500 0.500 1
```

***

Listing M_tot for the structures above in their given order: 0.00 0.00 2.89 0.00 0.00 0.00 0.00 2.00 μB per formula unit.
Listing raw total energy for the structures above in their given order: -6.304 -3.629 -8.346 -6.085 -2.073 -7.300 -2.836 -4.463 eV per atom.
Listing Fermi-level density of states for the structures above in their given order: 8.420 4.155 7.601 0.968 3.371 4.952 1.266 2.592 states/eV/f.u..